VASP calculation (GGA-PBE) on a relaxed structure of MgI3N.

The structure in extended XYZ format:
```
5
Lattice="-1.739 4.548 1.497 -4.545 -1.067 -2.039 -1.506 -2.032 4.422" Properties=species:S:1:pos:R:3 pbc="T T T"
Mg -3.895 0.724 1.940
I -0.753 -1.016 2.211
I -2.272 -0.534 -1.019
N 0.000 0.000 0.000
I -0.870 2.274 0.749
```

- Formation energy from raw total energies: 14.9 kcal/mol of atoms
- Distance to the lowest polymorph of the same formula: 16 meV/atom
- Spin magnetization: 0.00 μB per formula unit
- Space-group type: Pm-3m
- E: -2.269 eV per atom
- Crystal system: cubic

=====

VASP calculation (GGA-PBE) on a relaxed structure of MgI2N.

The structure in extended XYZ format:
```
8
Lattice="5.634 0.000 0.000 0.000 5.634 0.000 2.817 2.817 7.244" Properties=species:S:1:pos:R:3 pbc="T T T"
I 3.908 1.409 1.811
I 7.043 6.725 5.433
N 2.817 2.817 0.000
Mg 0.000 0.000 0.000
I 1.726 4.226 1.811
I 4.226 4.543 5.433
Mg 5.634 2.817 3.622
N 2.817 5.634 3.622
```

- Formation energy from raw total energies: 18.7 kcal/mol of atoms
- Distance to the lowest polymorph of the same formula: 309 meV/atom
- Spin magnetization: 0.00 μB per formula unit
- Space-group type: I-42d
- E: -2.443 eV per atom
- Crystal system: tetragonal

=====

VASP calculation (GGA-PBE) on a relaxed structure of Mg3IN.

The structure in extended XYZ format:
```
5
Lattice="5.574 0.000 0.000 0.000 5.574 0.000 0.000 0.000 5.574" Properties=species:S:1:pos:R:3 pbc="T T T"
Mg 0.000 0.000 2.787
I 0.000 0.000 0.000
Mg 0.000 2.787 0.000
Mg 2.787 0.000 0.000
N 2.787 2.787 2.787
```

- Formation energy from raw total energies: 38.9 kcal/mol of atoms
- Distance to the lowest polymorph of the same formula: 1832 meV/atom
- Spin magnetization: 0.00 μB per formula unit
- Space-group type: Pm-3m
- E: -1.245 eV per atom
- Crystal system: cubic

=====

VASP calculation (GGA-PBE) on a relaxed structure of Mg2IN.

The structure in extended XYZ format:
```
4
Lattice="0.000 3.341 3.341 3.341 0.000 3.341 3.341 3.341 0.000" Properties=species:S:1:pos:R:3 pbc="T T T"
Mg 5.012 5.012 5.012
I 3.341 3.341 3.341
N 0.000 0.000 0.000
Mg 1.671 1.671 1.671
```

- Formation energy from raw total energies: 14.1 kcal/mol of atoms
- Spin magnetization: 0.00 μB per formula unit
- Space-group type: Fm-3m
- E: -2.654 eV per atom
- Crystal system: cubic